No. 1
This record from Alexandria via LeMat-Bulk describes an optimized crystal structure of CuHg. The functional is PBE. Values from VASP.

```
&SYSTEM
  ibrav = 0, nat = 4, ntyp = 2
/
ATOMIC_SPECIES
Cu 63.55 Cu.upf
Hg 200.59 Hg.upf
CELL_PARAMETERS angstrom
3.460 0.000 0.000
0.000 3.460 0.000
0.000 0.000 6.400
ATOMIC_POSITIONS angstrom
Cu 0.865 2.595 0.000
Cu 2.595 0.865 0.000
Hg 0.865 0.865 2.182
Hg 2.595 2.595 4.218
```

## Properties
Its density of states at the Fermi level is 0.320 states/eV per atom. The total energy is -1.998 eV per atom.

---

No. 2
This record from Alexandria via LeMat-Bulk describes an optimized crystal structure of Cu4Hg5. The functional is PBE. Values from VASP.

```
&SYSTEM
  ibrav = 0, nat = 9, ntyp = 2
/
ATOMIC_SPECIES
Cu 63.55 Cu.upf
Hg 200.59 Hg.upf
CELL_PARAMETERS angstrom
-4.477 4.477 2.075
4.477 -4.477 2.075
4.477 4.477 -2.075
ATOMIC_POSITIONS angstrom
Cu 3.246 0.000 0.000
Cu 5.708 0.000 0.000
Cu 0.000 3.246 0.000
Cu 0.000 5.708 0.000
Hg 0.000 0.000 0.000
Hg 2.936 2.936 0.000
Hg 1.541 -1.541 2.075
Hg -1.541 1.541 2.075
Hg 1.541 1.541 2.075
```

## Properties
The calculation puts the energy above the most stable polymorph in this dataset at 22.0 meV per atom. Its density of states at the Fermi level is 0.334 states/eV per atom.

---

No. 3
This record from Alexandria via LeMat-Bulk describes an optimized crystal structure of Cu3Hg. The functional is PBE. Values from VASP.

```
&SYSTEM
  ibrav = 0, nat = 4, ntyp = 2
/
ATOMIC_SPECIES
Cu 63.55 Cu.upf
Hg 200.59 Hg.upf
CELL_PARAMETERS angstrom
2.832 0.000 0.000
0.000 4.401 0.000
0.000 0.000 4.665
ATOMIC_POSITIONS angstrom
Cu 0.000 0.000 0.000
Cu 0.000 2.200 1.505
Cu 1.416 0.000 2.134
Hg 1.416 2.200 3.824
```

## Properties
Its density of states at the Fermi level is 0.320 states/eV per atom. The total energy is -2.970 eV per atom.

---

No. 4
This record from Alexandria via LeMat-Bulk describes an optimized crystal structure of CuHg2. The functional is PBE. Values from VASP.

```
&SYSTEM
  ibrav = 0, nat = 9, ntyp = 2
/
ATOMIC_SPECIES
Cu 63.55 Cu.upf
Hg 200.59 Hg.upf
CELL_PARAMETERS angstrom
3.380 0.000 0.000
-1.690 2.927 0.000
0.000 0.000 18.779
ATOMIC_POSITIONS angstrom
Cu 0.000 0.000 0.000
Cu 0.000 1.951 12.520
Cu 1.690 0.976 6.260
Hg 0.000 0.000 10.608
Hg 0.000 0.000 14.410
Hg 0.000 1.951 4.349
Hg 0.000 1.951 8.150
Hg 1.690 0.976 1.890
Hg 1.690 0.976 16.868
```

## Properties
Its density of states at the Fermi level is 0.163 states/eV per atom. The total energy is -1.355 eV per atom.

---

No. 5
This record from Alexandria via LeMat-Bulk describes an optimized crystal structure of CuHg3. The functional is PBE. Values from VASP.

```
&SYSTEM
  ibrav = 0, nat = 4, ntyp = 2
/
ATOMIC_SPECIES
Cu 63.55 Cu.upf
Hg 200.59 Hg.upf
CELL_PARAMETERS angstrom
3.071 0.000 0.000
0.000 3.389 0.000
0.000 0.000 8.813
ATOMIC_POSITIONS angstrom
Cu 0.000 0.000 0.000
Hg 0.000 1.695 2.117
Hg 1.536 0.000 4.628
Hg 1.536 1.695 7.269
```

## Properties
The calculation puts the energy above the most stable polymorph in this dataset at 55.8 meV per atom. Its density of states at the Fermi level is 0.341 states/eV per atom.

---

No. 6
This record from Alexandria via LeMat-Bulk describes an optimized crystal structure of CuHg2. The functional is PBE. Values from VASP.

```
&SYSTEM
  ibrav = 0, nat = 12, ntyp = 2
/
ATOMIC_SPECIES
Cu 63.55 Cu.upf
Hg 200.59 Hg.upf
CELL_PARAMETERS angstrom
3.210 0.000 0.000
0.000 14.483 0.000
0.000 0.000 5.248
ATOMIC_POSITIONS angstrom
Cu 0.000 3.047 1.312
Cu 0.000 11.436 3.936
Cu 1.605 4.194 3.936
Cu 1.605 10.289 1.312
Hg 0.000 2.035 3.936
Hg 0.000 6.433 3.936
Hg 0.000 8.050 1.312
Hg 0.000 12.449 1.312
Hg 1.605 0.809 1.312
Hg 1.605 5.207 1.312
Hg 1.605 9.276 3.936
Hg 1.605 13.675 3.936
```

## Properties
Its density of states at the Fermi level is 0.252 states/eV per atom. The total energy is -1.357 eV per atom.

---

No. 7
This record from Alexandria via LeMat-Bulk describes an optimized crystal structure of CuHg2. The functional is PBE. Values from VASP.

```
&SYSTEM
  ibrav = 0, nat = 12, ntyp = 2
/
ATOMIC_SPECIES
Cu 63.55 Cu.upf
Hg 200.59 Hg.upf
CELL_PARAMETERS angstrom
4.365 0.000 0.000
0.000 3.009 0.000
0.000 0.000 20.461
ATOMIC_POSITIONS angstrom
Cu 0.000 0.000 0.000
Cu 0.000 0.000 8.120
Cu 0.000 1.504 10.231
Cu 0.000 1.504 18.350
Hg 0.000 0.000 12.604
Hg 0.000 1.504 2.373
Hg 2.182 0.000 4.222
Hg 2.182 0.000 10.017
Hg 2.182 0.000 17.192
Hg 2.182 1.504 6.961
Hg 2.182 1.504 14.453
Hg 2.182 1.504 20.247
```

## Properties
Its density of states at the Fermi level is 0.492 states/eV per atom. The total energy is -1.391 eV per atom.

---

No. 8
This record from Alexandria via LeMat-Bulk describes an optimized crystal structure of Cu2Hg. The functional is PBE. Values from VASP.

```
&SYSTEM
  ibrav = 0, nat = 12, ntyp = 2
/
ATOMIC_SPECIES
Cu 63.55 Cu.upf
Hg 200.59 Hg.upf
CELL_PARAMETERS angstrom
3.502 0.000 0.000
0.000 3.502 0.000
0.000 0.000 16.243
ATOMIC_POSITIONS angstrom
Cu 0.000 0.876 4.868
Cu 0.000 0.876 7.314
Cu 0.000 2.627 8.929
Cu 0.000 2.627 11.374
Cu 1.751 0.876 0.808
Cu 1.751 0.876 3.253
Cu 1.751 2.627 12.990
Cu 1.751 2.627 15.435
Hg 0.000 0.876 14.212
Hg 0.000 2.627 2.030
Hg 1.751 0.876 10.152
Hg 1.751 2.627 6.091
```

## Properties
Its density of states at the Fermi level is 0.326 states/eV per atom. The total energy is -2.523 eV per atom.

---

No. 9
This record from Alexandria via LeMat-Bulk describes an optimized crystal structure of CuHg2. The functional is PBE. Values from VASP.

```
&SYSTEM
  ibrav = 0, nat = 6, ntyp = 2
/
ATOMIC_SPECIES
Cu 63.55 Cu.upf
Hg 200.59 Hg.upf
CELL_PARAMETERS angstrom
4.240 0.000 0.000
0.000 4.240 0.000
0.000 0.000 7.090
ATOMIC_POSITIONS angstrom
Cu 1.060 1.060 1.726
Cu 3.180 3.180 5.364
Hg 1.060 1.060 6.193
Hg 1.060 3.180 3.545
Hg 3.180 1.060 3.545
Hg 3.180 3.180 0.897
```

## Properties
Its density of states at the Fermi level is 0.359 states/eV per atom. The total energy is -1.330 eV per atom.

---

No. 10
This record from Alexandria via LeMat-Bulk describes an optimized crystal structure of CuHg2. The functional is PBE. Values from VASP.

```
&SYSTEM
  ibrav = 0, nat = 12, ntyp = 2
/
ATOMIC_SPECIES
Cu 63.55 Cu.upf
Hg 200.59 Hg.upf
CELL_PARAMETERS angstrom
3.000 0.000 0.000
0.000 17.873 0.000
0.000 0.000 4.580
ATOMIC_POSITIONS angstrom
Cu 0.000 1.259 1.145
Cu 0.000 16.614 3.435
Cu 1.500 7.677 3.435
Cu 1.500 10.196 1.145
Hg 0.000 5.278 3.435
Hg 0.000 7.645 1.145
Hg 0.000 10.228 3.435
Hg 0.000 12.596 1.145
Hg 1.500 1.292 3.435
Hg 1.500 3.659 1.145
Hg 1.500 14.214 3.435
Hg 1.500 16.582 1.145
```

## Properties
Its density of states at the Fermi level is 0.279 states/eV per atom. The total energy is -1.411 eV per atom.

---

No. 11
This record from Alexandria via LeMat-Bulk describes an optimized crystal structure of CuHg. The functional is PBE. Values from VASP.

```
&SYSTEM
  ibrav = 0, nat = 8, ntyp = 2
/
ATOMIC_SPECIES
Cu 63.55 Cu.upf
Hg 200.59 Hg.upf
CELL_PARAMETERS angstrom
5.982 0.000 0.000
0.000 5.982 0.000
0.000 0.000 5.982
ATOMIC_POSITIONS angstrom
Cu 0.000 0.000 0.000
Cu 0.000 2.991 2.991
Cu 2.991 0.000 2.991
Cu 2.991 2.991 0.000
Hg 1.495 1.495 4.486
Hg 1.495 4.486 1.495
Hg 4.486 1.495 1.495
Hg 4.486 4.486 4.486
```

## Properties
Its density of states at the Fermi level is 0.313 states/eV per atom. The total energy is -1.618 eV per atom.

---

No. 12
This record from Alexandria via LeMat-Bulk describes an optimized crystal structure of CuHg2. The functional is PBE. Values from VASP.

```
&SYSTEM
  ibrav = 0, nat = 6, ntyp = 2
/
ATOMIC_SPECIES
Cu 63.55 Cu.upf
Hg 200.59 Hg.upf
CELL_PARAMETERS angstrom
6.152 0.000 0.000
-3.076 5.328 0.000
0.000 0.000 3.901
ATOMIC_POSITIONS angstrom
Cu 0.000 3.552 0.000
Cu 3.076 1.776 0.000
Hg 0.000 0.000 0.000
Hg -1.220 2.113 1.950
Hg 2.440 0.000 1.950
Hg 1.856 3.215 1.950
```

## Properties
Its density of states at the Fermi level is 0.245 states/eV per atom. The total energy is -1.353 eV per atom.